# 1
Density functional theory data (PBE) for LaSn2Sb after structural relaxation.

Computed properties:
- E_form (uncorrected) (eV per atom) = -0.3403
- spin magnetization (μB per atom) = 0.00

abc: 8.7919 8.7919 6.4539
angles: 90.00 90.00 90.00
With the nearest neighbours (Å) after each atom.
Space group I-42d (No. 122)
Symmetry-distinct sites (fractional):
La: 0.0000 0.0000 0.0000 [4 per cell]  2 Sb 3.23, 4 Sn 3.35
Sn: 0.2272 0.2500 0.6250 [8 per cell]  2 Sb 3.08, 2 Sn 3.25, 2 La 3.35
Sb: 0.0000 0.0000 0.5000 [4 per cell]  4 Sn 3.08, 2 La 3.23

=====

# 2
Density functional theory data (PBE) for Ho6AsC2S3 after structural relaxation.

Computed properties:
- E_form (uncorrected) (eV per atom) = -1.4458
- spin magnetization (μB per atom) = 0.00

abc: 16.7863 3.7953 7.7912
angles: 90.00 103.89 90.00
With the nearest neighbours (Å) after each atom.
Space group C2/m (No. 12)
Symmetry-distinct sites (fractional):
Ho: 0.0163 0.0000 0.2626 [4 per cell]  1 C 2.50, 2 S 2.71, 2 As 2.76
Ho: 0.1713 0.5000 0.1193 [4 per cell]  2 C 2.56, 1 S 2.71, 1 As 2.80
Ho: 0.1767 0.5000 0.5643 [4 per cell]  3 C 2.51-2.57
As: 0.0000 0.5000 0.0000 [2 per cell]  6 Ho 2.76-2.80
C: 0.1697 0.0000 0.3383 [4 per cell]  6 Ho 2.50-2.57
S: 0.0000 0.5000 0.5000 [2 per cell]  6 Ho 2.71-2.89
S: 0.1631 0.0000 0.8327 [4 per cell]  6 Ho 2.71-2.92

=====

# 3
Density functional theory data (PBE) for Pr4DyTm2 after structural relaxation.

Computed properties:
- energy of formation (meV per atom) = 63.2
- spin magnetization (μB per atom) = 0.00

abc: 12.0415 24.4063 6.4856
angles: 90.00 90.00 90.00
With the nearest neighbours (Å) after each atom.
Space group Fdd2 (No. 43)
Symmetry-distinct sites (fractional):
Pr: 0.0515 0.0706 0.0000 [16 per cell]  4 Pr 3.44-3.66, 4 Tm 3.45-3.68, 2 Dy 3.70-3.75
Pr: 0.0693 0.1439 0.5300 [16 per cell]  5 Pr 3.44-3.63, 2 Tm 3.59-3.60, 2 Dy 3.62-3.66
Dy: 0.0000 0.0000 0.4957 [8 per cell]  4 Tm 3.47-3.62, 8 Pr 3.62-3.75
Tm: 0.0244 0.2165 0.0541 [16 per cell]  6 Pr 3.45-3.68, 2 Dy 3.47-3.62, 2 Tm 3.68

=====

# 4
Density functional theory data (PBE) for Cd2AgOs after structural relaxation.

Computed properties:
- energy of formation (meV per atom) = 494.1
- spin magnetization (μB per atom) = 0.00

abc: 2.7989 4.4314 5.8078
angles: 90.00 90.00 90.00
With the nearest neighbours (Å) after each atom.
Space group Pmm2 (No. 25)
Symmetry-distinct sites (fractional):
Cd: 0.0000 0.0000 0.0000 [1 per cell]  6 Cd 2.80-3.11, 2 Os 2.88-2.93, 4 Ag 2.96
Cd: 0.5000 0.5000 0.2868 [1 per cell]  2 Ag 2.77-3.03, 6 Cd 2.80-3.11, 4 Os 2.91
Ag: 0.5000 0.5000 0.7646 [1 per cell]  6 Cd 2.77-3.03, 2 Ag 2.80, 4 Os 3.02
Os: 0.0000 0.0000 0.5049 [1 per cell]  2 Os 2.80, 6 Cd 2.88-2.93, 4 Ag 3.02

=====

# 5
Density functional theory data (PBE) for Cd2NiMo after structural relaxation.

Computed properties:
- energy of formation (meV per atom) = 402.5
- spin magnetization (μB per atom) = 0.07

abc: 2.8859 2.8859 28.0099
angles: 90.00 90.00 120.00
With the nearest neighbours (Å) after each atom.
Space group R-3m (No. 166, hexagonal axes)
Symmetry-distinct sites (fractional):
Cd: 0.0000 0.0000 0.2441 [6 per cell]  3 Ni 2.74, 6 Cd 2.89, 3 Mo 3.00
Ni: 0.0000 0.0000 0.5000 [3 per cell]  6 Cd 2.74, 6 Ni 2.89
Mo: 0.0000 0.0000 0.0000 [3 per cell]  6 Mo 2.89, 6 Cd 3.00

=====

# 6
Density functional theory data (PBE) for CdInFe2 after structural relaxation.

Computed properties:
- energy of formation (meV per atom) = 432.5
- spin magnetization (μB per atom) = 1.24

abc: 2.9197 2.9197 27.1902
angles: 90.00 90.00 120.00
With the nearest neighbours (Å) after each atom.
Space group R-3m (No. 166, hexagonal axes)
Symmetry-distinct sites (fractional):
Cd: 0.0000 0.0000 0.0000 [3 per cell]  6 Fe 2.84, 6 Cd 2.92
In: 0.0000 0.0000 0.5000 [3 per cell]  6 Fe 2.81, 6 In 2.92
Fe: 0.0000 0.0000 0.2492 [6 per cell]  3 In 2.81, 3 Cd 2.84, 6 Fe 2.92

=====

# 7
Density functional theory data (PBE) for TaCr2Se after structural relaxation.

Computed properties:
- E_form (uncorrected) (eV per atom) = 0.0955
- spin magnetization (μB per atom) = 0.26

abc: 3.1520 3.1520 6.0666
angles: 90.00 90.00 90.00
With the nearest neighbours (Å) after each atom.
Space group P4mm (No. 99)
Symmetry-distinct sites (fractional):
Ta: 0.0000 0.0000 0.0000 [1 per cell]  4 Se 2.68, 5 Cr 2.87-2.90
Cr: 0.0000 0.0000 0.4781 [1 per cell]  4 Cr 2.48
Cr: 0.5000 0.5000 0.2970 [1 per cell]  4 Cr 2.48, 1 Se 2.77
Se: 0.5000 0.5000 0.7541 [1 per cell]  4 Ta 2.68, 5 Cr 2.77-2.79

=====

# 8
Density functional theory data (PBE) for ScV3H after structural relaxation.

Computed properties:
- DFT total energy (eV/atom) = -7.203
- spin magnetization (μB per atom) = 0.00

abc: 4.0176 4.0176 4.0176
angles: 90.00 90.00 90.00
With the nearest neighbours (Å) after each atom.
Space group Pm-3m (No. 221)
Symmetry-distinct sites (fractional):
Sc: 0.0000 0.0000 0.0000 [1 per cell]  12 V 2.84
V: 0.0000 0.5000 0.5000 [3 per cell]  2 H 2.01
H: 0.5000 0.5000 0.5000 [1 per cell]  6 V 2.01

=====

# 9
Density functional theory data (PBE) for PmSn2As2Rh7 after structural relaxation.

Computed properties:
- energy of formation (meV per atom) = -285.0
- spin magnetization (μB per atom) = 0.00

abc: 5.5837 5.5577 14.5348
angles: 90.00 97.92 90.00
With the nearest neighbours (Å) after each atom.
Space group C2/m (No. 12)
Symmetry-distinct sites (fractional):
Pm: 0.0000 0.0000 0.0000 [2 per cell]  12 Rh 2.78-2.97
Sn: 0.1208 0.0000 0.3999 [4 per cell]  5 Rh 2.75-2.84
As: 0.0889 0.5000 0.2523 [4 per cell]  5 Rh 2.42-2.45
Rh: 0.0000 0.5000 0.0000 [2 per cell]  4 Pm 2.78-2.79, 8 Rh 2.96-2.97
Rh: 0.1345 0.5000 0.4227 [4 per cell]  1 As 2.45, 1 Sn 2.75
Rh: 0.1959 0.2496 0.8458 [8 per cell]  2 As 2.42

=====

# 10
Density functional theory data (PBE) for CuPtBr2 after structural relaxation.

Computed properties:
- E_form (uncorrected) (eV per atom) = 0.1548
- spin magnetization (μB per atom) = 0.00

abc: 3.6536 5.5445 8.2926
angles: 90.00 90.00 90.00
With the nearest neighbours (Å) after each atom.
Space group Amm2 (No. 38)
Symmetry-distinct sites (fractional):
Cu: 0.0000 0.0000 0.0000 [2 per cell]  2 Pt 2.58, 4 Br 2.61-2.84
Pt: 0.5000 0.0000 0.2196 [2 per cell]  4 Br 2.51-2.81, 2 Cu 2.58
Br: 0.0000 0.0000 0.4273 [2 per cell]  2 Pt 2.51
Br: 0.5000 0.0000 0.7744 [2 per cell]  2 Cu 2.61, 2 Pt 2.81

=====

# 11
Density functional theory data (PBE) for Ca2NiIr after structural relaxation.

Computed properties:
- energy of formation (meV per atom) = 191.0
- spin magnetization (μB per atom) = 0.00

abc: 3.0047 4.7006 5.7755
angles: 90.00 90.00 90.00
With the nearest neighbours (Å) after each atom.
Space group Pmm2 (No. 25)
Symmetry-distinct sites (fractional):
Ca: 0.0000 0.0000 0.0000 [1 per cell]  2 Ir 2.77-3.01, 4 Ni 2.93, 2 Ca 3.00
Ca: 0.5000 0.5000 0.3736 [1 per cell]  1 Ni 2.71, 4 Ir 2.92, 2 Ca 3.00
Ni: 0.5000 0.5000 0.8421 [1 per cell]  5 Ca 2.71-2.93, 2 Ni 3.00
Ir: 0.0000 0.0000 0.5203 [1 per cell]  6 Ca 2.77-3.01, 2 Ir 3.00

=====

# 12
Density functional theory data (PBE) for CaCd4Pd5 after structural relaxation.

Computed properties:
- energy of formation (meV per atom) = -438.9
- spin magnetization (μB per atom) = 0.00

abc: 3.3490 3.3490 16.3310
angles: 90.00 90.00 90.00
With the nearest neighbours (Å) after each atom.
Space group P4/mmm (No. 123)
Symmetry-distinct sites (fractional):
Ca: 0.0000 0.0000 0.0000 [1 per cell]  8 Pd 3.02, 4 Ca 3.35
Cd: 0.0000 0.0000 0.2093 [2 per cell]  8 Pd 2.83-2.85, 1 Cd 3.17
Cd: 0.0000 0.0000 0.4032 [2 per cell]  8 Pd 2.84-2.85, 2 Cd 3.16-3.17
Pd: 0.5000 0.5000 0.1147 [2 per cell]  4 Cd 2.83, 4 Ca 3.02, 1 Pd 3.14
Pd: 0.5000 0.5000 0.3068 [2 per cell]  8 Cd 2.84-2.85, 2 Pd 3.14-3.15
Pd: 0.5000 0.5000 0.5000 [1 per cell]  8 Cd 2.85, 2 Pd 3.15